(1)
{
  "formula": "TaSb2Pb",
  "functional": "PBE",
  "state": "relaxed",
  "lattice_angstrom": [[3.5801, 0.0000, 0.0000], [0.0000, 5.2174, 0.0000], [0.0000, 0.0000, 5.2174]],
  "species": ["Sb", "Sb", "Ta", "Pb"],
  "frac_coords": [[0.0000, 0.0000, 0.0000], [0.0000, 0.5000, 0.5000], [0.5000, 0.5000, 0.0000], [0.5000, 0.0000, 0.5000]],
  "raw_formation_energy_ev_per_atom": 0.569,
  "density_g_cm3": 10.76,
  "e_tot_ev_per_cell": -21.5
}

***

(2)
{
  "formula": "TaSb3Pb",
  "functional": "PBE",
  "state": "relaxed",
  "lattice_angstrom": [[5.4061, 0.0000, 0.0000], [0.0000, 5.4061, 0.0000], [0.0000, 0.0000, 5.4061]],
  "species": ["Sb", "Sb", "Sb", "Pb", "Ta"],
  "frac_coords": [[0.0000, 0.5000, 0.0000], [0.5000, 0.0000, 0.0000], [0.0000, 0.0000, 0.5000], [0.5000, 0.5000, 0.5000], [0.0000, 0.0000, 0.0000]],
  "raw_formation_energy_ev_per_atom": 0.389,
  "density_g_cm3": 7.92,
  "e_tot_ev_per_cell": -26.0
}

***

(3)
{
  "formula": "Ta2SbPb",
  "functional": "PBE",
  "state": "relaxed",
  "lattice_angstrom": [[-2.4861, 2.4599, -0.0051], [-1.9594, -1.9846, -2.1084], [-3.4035, -3.4266, 6.3885]],
  "species": ["Sb", "Ta", "Ta", "Pb"],
  "frac_coords": [[0.5000, 0.5000, 0.8327], [0.0000, 0.0000, 0.0285], [0.5000, 0.5000, 0.2057], [0.0000, 0.0000, 0.4331]],
  "raw_formation_energy_ev_per_atom": 0.126,
  "density_g_cm3": 11.72,
  "e_tot_ev_per_cell": -31.0
}

***

(4)
{
  "formula": "Ta2SbPb",
  "functional": "PBE",
  "state": "relaxed",
  "lattice_angstrom": [[5.6903, -0.0153, -0.0036], [2.4352, 5.1429, 0.0036], [-3.5560, -3.3668, 2.8982]],
  "species": ["Sb", "Ta", "Ta", "Pb"],
  "frac_coords": [[0.2314, 0.7314, 0.5000], [0.9945, 0.9945, 0.0000], [0.7643, 0.2643, 0.5000], [0.5097, 0.5097, 0.0000]],
  "raw_formation_energy_ev_per_atom": 0.443,
  "density_g_cm3": 13.50,
  "e_tot_ev_per_cell": -29.8
}

***

(5)
{
  "formula": "TaSb2Pb",
  "functional": "PBE",
  "state": "relaxed",
  "lattice_angstrom": [[-2.1738, 2.2420, 4.1238], [1.2926, -1.5436, 4.7649], [2.8136, 3.0922, 3.0463]],
  "species": ["Pb", "Sb", "Sb", "Ta"],
  "frac_coords": [[0.5000, 0.5000, 0.5000], [0.0000, 0.0000, 0.0000], [0.2500, 0.2500, 0.2500], [0.7500, 0.7500, 0.7500]],
  "raw_formation_energy_ev_per_atom": 0.702,
  "density_g_cm3": 10.72,
  "e_tot_ev_per_cell": -21.0
}

***

(6)
{
  "formula": "Ta2SbPb",
  "functional": "PBE",
  "state": "relaxed",
  "lattice_angstrom": [[-4.8062, -0.4273, 0.7066], [-3.0290, -0.0763, -3.8211], [-2.2856, -4.1322, -1.2175]],
  "species": ["Sb", "Ta", "Ta", "Pb"],
  "frac_coords": [[0.0000, 0.0000, 0.0000], [0.7500, 0.7500, 0.7500], [0.2500, 0.2500, 0.2500], [0.5000, 0.5000, 0.5000]],
  "raw_formation_energy_ev_per_atom": 0.476,
  "density_g_cm3": 13.99,
  "e_tot_ev_per_cell": -29.6
}

***

(7)
{
  "formula": "TaSb2Pb",
  "functional": "PBE",
  "state": "relaxed",
  "lattice_angstrom": [[3.6349, 0.0000, 0.0000], [0.0000, 5.2228, 0.0000], [0.0000, 0.0000, 5.1024]],
  "species": ["Sb", "Sb", "Ta", "Pb"],
  "frac_coords": [[0.5000, 0.5000, 0.0000], [0.0000, 0.0000, 0.0000], [0.5000, 0.0000, 0.5000], [0.0000, 0.5000, 0.5000]],
  "raw_formation_energy_ev_per_atom": 0.605,
  "density_g_cm3": 10.83,
  "e_tot_ev_per_cell": -21.4
}

***

(8)
{
  "formula": "Ta2SbPb",
  "functional": "PBE",
  "state": "relaxed",
  "lattice_angstrom": [[-1.9482, 2.7745, -1.2426], [-4.0895, -3.0818, -0.4696], [-1.2621, 1.0247, 4.2667]],
  "species": ["Ta", "Ta", "Sb", "Pb"],
  "frac_coords": [[0.5000, 0.5000, 0.0000], [0.0000, 0.0000, 0.0000], [0.0000, 0.5000, 0.5000], [0.5000, 0.0000, 0.5000]],
  "raw_formation_energy_ev_per_atom": 0.550,
  "density_g_cm3": 13.53,
  "e_tot_ev_per_cell": -29.3
}

***

(9)
{
  "formula": "Ta2SbPb",
  "functional": "PBE",
  "state": "relaxed",
  "lattice_angstrom": [[-3.6350, 1.5092, 3.3507], [-5.1268, 0.5748, 0.3217], [-0.9219, -4.7166, 1.9089]],
  "species": ["Ta", "Ta", "Pb", "Sb"],
  "frac_coords": [[0.5046, 0.5046, 0.4632], [0.9954, 0.9954, 0.0368], [0.7500, 0.7500, 0.7500], [0.2500, 0.2500, 0.2500]],
  "raw_formation_energy_ev_per_atom": 0.477,
  "density_g_cm3": 13.09,
  "e_tot_ev_per_cell": -29.6
}

***

(10)
{
  "formula": "TaSbPb",
  "functional": "PBE",
  "state": "relaxed",
  "lattice_angstrom": [[-6.3671, -0.3430, -6.0153], [-7.9273, -0.4727, -3.3161], [-0.1958, 2.9489, -1.0013]],
  "species": ["Ta", "Pb", "Sb"],
  "frac_coords": [[0.6720, 0.6720, 0.3280], [0.0266, 0.0266, 0.9734], [0.3014, 0.3014, 0.6986]],
  "raw_formation_energy_ev_per_atom": 0.254,
  "density_g_cm3": 10.80,
  "e_tot_ev_per_cell": -18.9
}

***

(11)
{
  "formula": "Ta2SbPb",
  "functional": "PBE",
  "state": "relaxed",
  "lattice_angstrom": [[-2.4681, 1.5554, -0.7440], [0.0868, -1.1854, -2.7661], [-6.1123, -8.1252, 3.2903]],
  "species": ["Pb", "Ta", "Ta", "Sb"],
  "frac_coords": [[0.0000, 0.0000, 0.4517], [0.0000, 0.0000, 0.0176], [0.5000, 0.5000, 0.2220], [0.5000, 0.5000, 0.8087]],
  "raw_formation_energy_ev_per_atom": 0.258,
  "density_g_cm3": 11.84,
  "e_tot_ev_per_cell": -30.5
}

***

(12)
{
  "formula": "TaSbPb",
  "functional": "PBE",
  "state": "relaxed",
  "lattice_angstrom": [[-1.6331, 2.5946, -0.9805], [-0.6814, -2.8927, -1.2364], [-5.9169, -1.3226, 6.3548]],
  "species": ["Pb", "Sb", "Ta"],
  "frac_coords": [[0.0000, 0.0000, 0.9483], [0.6667, 0.3333, 0.3955], [0.3333, 0.6667, 0.6562]],
  "raw_formation_energy_ev_per_atom": 0.287,
  "density_g_cm3": 10.74,
  "e_tot_ev_per_cell": -18.8
}

***

(13)
{
  "formula": "TaSb2Pb",
  "functional": "PBE",
  "state": "relaxed",
  "lattice_angstrom": [[-1.1567, 1.8213, -2.3926], [2.2631, -1.8708, -1.3260], [-7.2330, -7.2930, -2.0548]],
  "species": ["Sb", "Sb", "Pb", "Ta"],
  "frac_coords": [[0.0000, 0.0000, 0.0498], [0.0000, 0.0000, 0.4502], [0.5000, 0.5000, 0.7500], [0.5000, 0.5000, 0.2500]],
  "raw_formation_energy_ev_per_atom": 0.177,
  "density_g_cm3": 10.03,
  "e_tot_ev_per_cell": -23.1
}

***

(14)
{
  "formula": "Ta2SbPb",
  "functional": "PBE",
  "state": "relaxed",
  "lattice_angstrom": [[4.6221, 0.0000, 0.0000], [0.0000, 3.5162, -0.0348], [0.0000, 1.8100, 5.4077]],
  "species": ["Ta", "Ta", "Pb", "Sb"],
  "frac_coords": [[0.0000, 0.2034, 0.9682], [0.5000, 0.0514, 0.2725], [0.0000, 0.4771, 0.4209], [0.5000, 0.7681, 0.8384]],
  "raw_formation_energy_ev_per_atom": 0.340,
  "density_g_cm3": 13.01,
  "e_tot_ev_per_cell": -30.2
}

***

(15)
{
  "formula": "Ta2SbPb",
  "functional": "PBE",
  "state": "relaxed",
  "lattice_angstrom": [[3.3936, 0.0000, 0.0000], [0.0000, 3.3936, 0.0000], [0.0000, 0.0000, 7.2100]],
  "species": ["Ta", "Ta", "Pb", "Sb"],
  "frac_coords": [[0.0000, 0.0000, 0.9776], [0.0000, 0.0000, 0.5224], [0.5000, 0.5000, 0.2500], [0.5000, 0.5000, 0.7500]],
  "raw_formation_energy_ev_per_atom": 0.432,
  "density_g_cm3": 13.82,
  "e_tot_ev_per_cell": -29.8
}

***

(16)
{
  "formula": "TaSb2Pb",
  "functional": "PBE",
  "state": "relaxed",
  "lattice_angstrom": [[3.5812, 0.0000, 0.0000], [0.0000, 3.5812, 0.0000], [0.0000, 0.0000, 8.0380]],
  "species": ["Sb", "Sb", "Ta", "Pb"],
  "frac_coords": [[0.0000, 0.0000, 0.0475], [0.5000, 0.5000, 0.2971], [0.0000, 0.0000, 0.4458], [0.5000, 0.5000, 0.7096]],
  "raw_formation_energy_ev_per_atom": 0.266,
  "density_g_cm3": 10.17,
  "e_tot_ev_per_cell": -22.7
}

***

(17)
{
  "formula": "TaSb2Pb",
  "functional": "PBE",
  "state": "relaxed",
  "lattice_angstrom": [[5.1908, -0.0100, 0.0000], [-1.1945, 5.0515, 0.0000], [0.0000, 0.0000, 3.6732]],
  "species": ["Sb", "Sb", "Pb", "Ta"],
  "frac_coords": [[0.5000, 0.5000, 0.0000], [0.0000, 0.0000, 0.0000], [0.0000, 0.5000, 0.5000], [0.5000, 0.0000, 0.5000]],
  "raw_formation_energy_ev_per_atom": 0.513,
  "density_g_cm3": 10.90,
  "e_tot_ev_per_cell": -21.8
}

***

(18)
{
  "formula": "TaSbPb3",
  "functional": "PBE",
  "state": "relaxed",
  "lattice_angstrom": [[-4.8507, 1.3766, 2.2805], [-2.6600, -2.2516, -4.2988], [-0.1415, -4.8642, 2.6353]],
  "species": ["Pb", "Pb", "Pb", "Sb", "Ta"],
  "frac_coords": [[0.0000, 0.0000, 0.5000], [0.5000, 0.0000, 0.0000], [0.0000, 0.5000, 0.0000], [0.5000, 0.5000, 0.5000], [0.0000, 0.0000, 0.0000]],
  "raw_formation_energy_ev_per_atom": 0.700,
  "density_g_cm3": 9.06,
  "e_tot_ev_per_cell": -23.6
}

***

(19)
{
  "formula": "TaSbTe2Pb",
  "functional": "PBE",
  "state": "relaxed",
  "lattice_angstrom": [[5.4150, 0.0000, 0.0000], [0.0000, 5.4150, 0.0000], [0.0000, 0.0000, 5.5027]],
  "species": ["Te", "Te", "Pb", "Ta", "Sb"],
  "frac_coords": [[0.5000, 0.0000, 0.0000], [0.0000, 0.5000, 0.0000], [0.5000, 0.5000, 0.5000], [0.0000, 0.0000, 0.0000], [0.0000, 0.0000, 0.5000]],
  "raw_formation_energy_ev_per_atom": 0.267,
  "density_g_cm3": 7.87,
  "e_tot_ev_per_cell": -24.6
}

***

(20)
{
  "formula": "TaTi2SbPb",
  "functional": "PBE",
  "state": "relaxed",
  "lattice_angstrom": [[-0.3949, -4.5541, -1.8014], [4.0576, -1.6212, 3.2090], [-3.2344, -1.1145, 3.5267]],
  "species": ["Sb", "Ti", "Ti", "Ta", "Pb"],
  "frac_coords": [[0.5000, 0.5000, 0.5000], [0.0000, 0.0000, 0.5000], [0.5000, 0.0000, 0.0000], [0.0000, 0.0000, 0.0000], [0.0000, 0.5000, 0.0000]],
  "raw_formation_energy_ev_per_atom": 0.898,
  "density_g_cm3": 7.68,
  "e_tot_ev_per_cell": -31.0
}